PBE+U SrCoWO5, relaxed; uncorrected energy = -0.5125 Ry/atom; DOS at the Fermi energy = 0.000 states/eV per atom
1.0
3.484 -4.736 0.000
3.484 4.736 0.000
-3.114 0.000 6.928
Sr Co W O
2 2 2 10
Direct
0.172 0.828 0.750
0.828 0.172 0.250
0.187 0.813 0.250
0.813 0.187 0.750
0.500 0.500 0.000
0.500 0.500 0.500
0.157 0.260 0.911
0.217 0.603 0.413
0.260 0.157 0.411
0.397 0.783 0.087
0.445 0.555 0.750
0.555 0.445 0.250
0.603 0.217 0.913
0.740 0.843 0.589
0.783 0.397 0.587
0.843 0.740 0.089